The following is a PBE with a Hubbard U calculation of a geometry-optimized Sr3Cr2MoO9 structure, from Alexandria via LeMat-Bulk.

a b c (Å): 5.604 5.604 6.895
angles (deg): 90.00 90.00 120.00
Fractional coordinates of all 15 atoms:
Mo1 0.000 0.000 0.500
O1 0.837 0.673 0.662
O2 0.163 0.327 0.338
O3 0.163 0.837 0.338
O4 0.673 0.837 0.338
O5 0.327 0.163 0.662
O6 0.500 0.500 0.000
O7 0.000 0.500 0.000
O8 0.837 0.163 0.662
O9 0.500 0.000 0.000
Sr1 0.667 0.333 0.305
Sr2 0.000 0.000 0.000
Sr3 0.333 0.667 0.695
Cr1 0.333 0.667 0.163
Cr2 0.667 0.333 0.837

Properties
Energy = -7.123 eV/atom
Crystal system = trigonal
Space group = P-3m1, No. 164